(1)
Density functional theory data (PBE) for a relaxed Pm2Sn3Rh5 crystal.

Cell lengths 11.685, 11.696, 6.050 Å; angles 90.00, 90.00, 90.00 degrees
Space group Ibam (No. 72)
Symmetry-distinct sites (fractional):
1 Pm 0.123 0.245 0.000 [8 per cell]
2 Sn 0.000 0.500 0.250 [4 per cell]
3 Sn 0.134 0.122 0.500 [8 per cell]
4 Rh 0.000 0.000 0.250 [4 per cell]
5 Rh 0.112 0.341 0.500 [8 per cell]
6 Rh 0.231 0.500 0.250 [8 per cell]

Computed properties:
Total magnetization = 0.0 μB/f.u.
Theoretical density = 9.32 g/cm³
Uncorrected energy = -6.41 eV per atom
Polymorph energy (0 for the lowest one) = 0.029 eV per atom
Calculated volume = 826.8 Å³/cell

(2)
Density functional theory data (PBE) for a relaxed PmSn4Rh crystal.

Cell lengths 6.581, 6.738, 7.445 Å; angles 106.51, 100.86, 100.71 degrees
Space group P-1 (No. 2)
Symmetry-distinct sites (fractional):
1 Pm 0.008 0.037 0.260 [2 per cell]
2 Sn 0.159 0.442 0.669 [2 per cell]
3 Sn 0.328 0.346 0.122 [2 per cell]
4 Sn 0.337 0.825 0.513 [2 per cell]
5 Sn 0.360 0.832 0.086 [2 per cell]
6 Rh 0.000 0.500 0.000 [1 per cell]
7 Rh 0.500 0.500 0.500 [1 per cell]

Computed properties:
Total magnetization = 0.0 μB/f.u.
Theoretical density = 7.98 g/cm³
Uncorrected energy = -5.06 eV per atom
Calculated volume = 300.7 Å³/cell

(3)
Density functional theory data (PBE) for a relaxed Pm2Sn6Rh crystal.

Cell lengths 7.574, 15.364, 4.291 Å; angles 90.00, 90.00, 90.00 degrees
Space group Cmmm (No. 65)
Symmetry-distinct sites (fractional):
1 Pm 0.000 0.190 0.000 [4 per cell]
2 Sn 0.192 0.347 0.500 [8 per cell]
3 Sn 0.230 0.500 0.000 [4 per cell]
4 Rh 0.000 0.500 0.500 [2 per cell]

Computed properties:
Total magnetization = 0.0 μB/f.u.
Theoretical density = 7.35 g/cm³
Uncorrected energy = -4.93 eV per atom
Polymorph energy (0 for the lowest one) = 0.140 eV per atom
Calculated volume = 499.3 Å³/cell

(4)
Density functional theory data (PBE) for a relaxed PmSn3Rh2 crystal.

Cell lengths 6.6120, 6.6120, 6.9935 Å; angles 90.00, 90.00, 120.00 degrees
Space group P-3m1 (No. 164)
Symmetry-distinct sites (fractional):
1 Pm 0.3333 0.6667 0.1693 [2 per cell]
2 Sn 0.1682 0.3363 0.7782 [6 per cell]
3 Rh 0.0000 0.0000 0.5000 [1 per cell]
4 Rh 0.0000 0.5000 0.5000 [3 per cell]

Computed properties:
Total magnetization = 0.0 μB/f.u.
Theoretical density = 8.87 g/cm³
Uncorrected energy = -5.67 eV per atom
Polymorph energy (0 for the lowest one) = 0.151 eV per atom
Calculated volume = 264.8 Å³/cell

(5)
Density functional theory data (PBE) for a relaxed Pm3SnRh crystal.

Cell lengths 5.408, 5.408, 5.408 Å; angles 90.00, 90.00, 90.00 degrees
Space group Pm-3m (No. 221)
Symmetry-distinct sites (fractional):
1 Pm 0.000 0.000 0.500 [3 per cell]
2 Sn 0.500 0.500 0.500 [1 per cell]
3 Rh 0.000 0.000 0.000 [1 per cell]

Computed properties:
Total magnetization = 0.0 μB/f.u.
Theoretical density = 6.89 g/cm³
Uncorrected energy = -5.55 eV per atom
Polymorph energy (0 for the lowest one) = 0.157 eV per atom
Calculated volume = 158.2 Å³/cell

(6)
Density functional theory data (PBE) for a relaxed Pm3Sn6Rh5 crystal.

Cell lengths 4.456, 13.653, 9.786 Å; angles 90.00, 90.00, 90.00 degrees
Space group Pmmn (No. 59, origin choice 2)
Symmetry-distinct sites (fractional):
1 Pm 0.250 0.048 0.248 [4 per cell]
2 Pm 0.250 0.750 0.268 [2 per cell]
3 Sn 0.250 0.070 0.592 [4 per cell]
4 Sn 0.250 0.250 0.035 [2 per cell]
5 Sn 0.250 0.250 0.398 [2 per cell]
6 Sn 0.250 0.593 0.980 [4 per cell]
7 Rh 0.250 0.093 0.867 [4 per cell]
8 Rh 0.250 0.637 0.540 [4 per cell]
9 Rh 0.250 0.750 0.795 [2 per cell]

Computed properties:
Total magnetization = 0.0 μB/f.u.
Theoretical density = 9.27 g/cm³
Uncorrected energy = -6.07 eV per atom
Calculated volume = 595.3 Å³/cell

(7)
Density functional theory data (PBE) for a relaxed PmSn2Rh2 crystal.

Cell lengths 9.737, 9.359, 5.535 Å; angles 90.00, 115.26, 90.00 degrees
Space group C2/c (No. 15)
Symmetry-distinct sites (fractional):
1 Pm 0.000 0.143 0.250 [4 per cell]
2 Sn 0.220 0.395 0.097 [8 per cell]
3 Rh 0.000 0.213 0.750 [4 per cell]
4 Rh 0.000 0.450 0.250 [4 per cell]

Computed properties:
Total magnetization = 0.0 μB/f.u.
Theoretical density = 8.56 g/cm³
Uncorrected energy = -6.05 eV per atom
Polymorph energy (0 for the lowest one) = 0.155 eV per atom
Calculated volume = 456.2 Å³/cell

(8)
Density functional theory data (PBE) for a relaxed Pm8Sn2Rh3 crystal.

Cell lengths 10.059, 15.232, 4.986 Å; angles 90.00, 90.00, 90.00 degrees
Space group Cmmm (No. 65)
Symmetry-distinct sites (fractional):
1 Pm 0.000 0.110 0.000 [4 per cell]
2 Pm 0.000 0.385 0.000 [4 per cell]
3 Pm 0.246 0.388 0.500 [8 per cell]
4 Sn 0.000 0.244 0.500 [4 per cell]
5 Rh 0.000 0.500 0.500 [2 per cell]
6 Rh 0.249 0.500 0.000 [4 per cell]

Computed properties:
Total magnetization = 0.0 μB/f.u.
Theoretical density = 7.42 g/cm³
Uncorrected energy = -5.76 eV per atom
Calculated volume = 764.0 Å³/cell

(9)
Density functional theory data (PBE) for a relaxed Pm6Sn12Rh crystal.

Cell lengths 12.1341, 12.1341, 12.2478 Å; angles 90.00, 90.00, 120.00 degrees
Space group R-3 (No. 148, hexagonal axes)
Symmetry-distinct sites (fractional):
1 Pm 0.0004 0.4298 0.2473 [18 per cell]
2 Sn 0.0591 0.8611 0.8552 [18 per cell]
3 Sn 0.0605 0.1927 0.3540 [18 per cell]
4 Rh 0.0000 0.0000 0.0000 [3 per cell]

Computed properties:
Total magnetization = 0.0 μB/f.u.
Theoretical density = 7.65 g/cm³
Uncorrected energy = -4.98 eV per atom
Calculated volume = 1561.7 Å³/cell

(10)
Density functional theory data (PBE) for a relaxed PmSn2Rh crystal.

Cell lengths 4.4996, 4.4996, 16.0952 Å; angles 90.00, 90.00, 120.00 degrees
Space group R-3m (No. 166, hexagonal axes)
Symmetry-distinct sites (fractional):
1 Pm 0.0000 0.0000 0.0000 [3 per cell]
2 Sn 0.0000 0.0000 0.2219 [6 per cell]
3 Rh 0.0000 0.0000 0.5000 [3 per cell]

Computed properties:
Total magnetization = 0.0 μB/f.u.
Theoretical density = 8.57 g/cm³
Uncorrected energy = -5.69 eV per atom
Polymorph energy (0 for the lowest one) = 0.030 eV per atom
Calculated volume = 282.2 Å³/cell

(11)
Density functional theory data (PBE) for a relaxed PmSn3Rh5 crystal.

Cell lengths 4.037, 13.893, 13.115 Å; angles 90.00, 90.00, 90.00 degrees
Space group Cmcm (No. 63)
Symmetry-distinct sites (fractional):
1 Pm 0.000 0.098 0.250 [4 per cell]
2 Sn 0.000 0.137 0.750 [4 per cell]
3 Sn 0.000 0.378 0.546 [8 per cell]
4 Rh 0.000 0.000 0.000 [4 per cell]
5 Rh 0.000 0.193 0.563 [8 per cell]
6 Rh 0.000 0.455 0.146 [8 per cell]

Computed properties:
Total magnetization = 0.0 μB/f.u.
Theoretical density = 9.17 g/cm³
Uncorrected energy = -6.35 eV per atom
Calculated volume = 735.7 Å³/cell

(12)
Density functional theory data (PBE) for a relaxed Pm4SnRh3 crystal.

Cell lengths 3.993, 4.394, 11.119 Å; angles 90.00, 90.00, 90.00 degrees
Space group Pmm2 (No. 25)
Symmetry-distinct sites (fractional):
1 Pm 0.000 0.000 0.000 [1 per cell]
2 Pm 0.000 0.500 0.264 [1 per cell]
3 Pm 0.500 0.000 0.469 [1 per cell]
4 Pm 0.500 0.500 0.785 [1 per cell]
5 Sn 0.000 0.000 0.695 [1 per cell]
6 Rh 0.000 0.500 0.538 [1 per cell]
7 Rh 0.500 0.000 0.207 [1 per cell]
8 Rh 0.500 0.500 0.042 [1 per cell]

Computed properties:
Total magnetization = 0.0 μB/f.u.
Theoretical density = 8.58 g/cm³
Uncorrected energy = -6.33 eV per atom
Calculated volume = 195.1 Å³/cell

(13)
Density functional theory data (PBE) for a relaxed Pm4SnRh4 crystal.

Cell lengths 8.089, 5.589, 11.183 Å; angles 90.00, 123.44, 90.00 degrees
Space group P2/c (No. 13)
Symmetry-distinct sites (fractional):
1 Pm 0.187 0.124 0.190 [4 per cell]
2 Pm 0.260 0.370 0.919 [4 per cell]
3 Sn 0.500 0.377 0.750 [2 per cell]
4 Rh 0.117 0.353 0.602 [4 per cell]
5 Rh 0.337 0.118 0.498 [4 per cell]

Computed properties:
Total magnetization = 0.0 μB/f.u.
Theoretical density = 8.74 g/cm³
Uncorrected energy = -6.46 eV per atom
Calculated volume = 421.9 Å³/cell

(14)
Density functional theory data (PBE) for a relaxed Pm3Sn5Rh6 crystal.

Cell lengths 4.417, 13.593, 9.652 Å; angles 90.00, 90.00, 90.00 degrees
Space group Pmmn (No. 59, origin choice 2)
Symmetry-distinct sites (fractional):
1 Pm 0.250 0.062 0.245 [4 per cell]
2 Pm 0.250 0.750 0.226 [2 per cell]
3 Sn 0.250 0.089 0.862 [4 per cell]
4 Sn 0.250 0.632 0.517 [4 per cell]
5 Sn 0.250 0.750 0.809 [2 per cell]
6 Rh 0.250 0.056 0.591 [4 per cell]
7 Rh 0.250 0.250 0.022 [2 per cell]
8 Rh 0.250 0.250 0.405 [2 per cell]
9 Rh 0.250 0.591 0.985 [4 per cell]

Computed properties:
Total magnetization = 0.0 μB/f.u.
Theoretical density = 9.43 g/cm³
Uncorrected energy = -6.32 eV per atom
Calculated volume = 579.5 Å³/cell

(15)
Density functional theory data (PBE) for a relaxed Pm2Sn6Rh crystal.

Cell lengths 4.488, 4.444, 23.892 Å; angles 90.00, 90.00, 90.00 degrees
Space group Amm2 (No. 38)
Symmetry-distinct sites (fractional):
1 Pm 0.000 0.000 0.000 [2 per cell]
2 Pm 0.000 0.000 0.338 [2 per cell]
3 Sn 0.000 0.000 0.603 [2 per cell]
4 Sn 0.000 0.000 0.724 [2 per cell]
5 Sn 0.500 0.000 0.101 [2 per cell]
6 Sn 0.500 0.000 0.223 [2 per cell]
7 Sn 0.500 0.000 0.470 [2 per cell]
8 Sn 0.500 0.000 0.891 [2 per cell]
9 Rh 0.500 0.000 0.783 [2 per cell]

Computed properties:
Total magnetization = 0.0 μB/f.u.
Theoretical density = 7.70 g/cm³
Uncorrected energy = -5.07 eV per atom
Polymorph energy (0 for the lowest one) = 0.000 eV per atom
Calculated volume = 476.5 Å³/cell

(16)
Density functional theory data (PBE) for a relaxed Pm2Sn2Rh3 crystal.

Cell lengths 8.590, 8.590, 8.590 Å; angles 90.00, 90.00, 90.00 degrees
Space group I2_13 (No. 199)
Symmetry-distinct sites (fractional):
1 Pm 0.240 0.240 0.240 [8 per cell]
2 Sn 0.050 0.450 0.550 [8 per cell]
3 Rh 0.000 0.250 0.012 [12 per cell]

Computed properties:
Total magnetization = 0.0 μB/f.u.
Theoretical density = 8.76 g/cm³
Uncorrected energy = -6.29 eV per atom
Polymorph energy (0 for the lowest one) = 0.070 eV per atom
Calculated volume = 633.8 Å³/cell

(17)
Density functional theory data (PBE) for a relaxed PmSn3Rh crystal.

Cell lengths 4.766, 4.766, 5.563 Å; angles 90.00, 90.00, 90.00 degrees
Space group P4mm (No. 99)
Symmetry-distinct sites (fractional):
1 Pm 0.000 0.000 0.000 [1 per cell]
2 Sn 0.000 0.500 0.470 [2 per cell]
3 Sn 0.500 0.500 0.810 [1 per cell]
4 Rh 0.500 0.500 0.262 [1 per cell]

Computed properties:
Total magnetization = 0.0 μB/f.u.
Theoretical density = 7.94 g/cm³
Uncorrected energy = -5.23 eV per atom
Polymorph energy (0 for the lowest one) = 0.030 eV per atom
Calculated volume = 126.4 Å³/cell

(18)
Density functional theory data (PBE) for a relaxed PmSn2Rh crystal.

Cell lengths 8.359, 7.367, 5.965 Å; angles 90.00, 90.00, 90.00 degrees
Space group Pnma (No. 62)
Symmetry-distinct sites (fractional):
1 Pm 0.032 0.250 0.111 [4 per cell]
2 Sn 0.186 0.046 0.617 [8 per cell]
3 Rh 0.084 0.750 0.369 [4 per cell]

Computed properties:
Total magnetization = 0.0 μB/f.u.
Theoretical density = 8.78 g/cm³
Uncorrected energy = -5.72 eV per atom
Polymorph energy (0 for the lowest one) = 0.000 eV per atom
Calculated volume = 367.3 Å³/cell

(19)
Density functional theory data (PBE) for a relaxed Pm2Sn2Rh3 crystal.

Cell lengths 11.851, 3.823, 7.360 Å; angles 90.00, 114.58, 90.00 degrees
Space group C2/m (No. 12)
Symmetry-distinct sites (fractional):
1 Pm 0.106 0.000 0.266 [4 per cell]
2 Sn 0.167 0.000 0.744 [4 per cell]
3 Rh 0.000 0.500 0.500 [2 per cell]
4 Rh 0.106 0.500 0.944 [4 per cell]

Computed properties:
Total magnetization = 0.0 μB/f.u.
Theoretical density = 9.16 g/cm³
Uncorrected energy = -6.36 eV per atom
Polymorph energy (0 for the lowest one) = 0.000 eV per atom
Calculated volume = 303.2 Å³/cell